First-principles (GGA-PBE) data for a relaxed structure of NaAl2Co, as listed in the Alexandria database.

POSCAR file:
```
NaAl2Co
1.0
0.000 3.097 3.097
3.097 0.000 3.097
3.097 3.097 0.000
Na Co Al
1 1 2
Direct
0.000 0.000 0.000 Na
0.500 0.500 0.500 Co
0.250 0.250 0.250 Al
0.750 0.750 0.750 Al
```

Values from the calculation:
- ΔE_f (meV per atom) = 130
- ρ (g cm⁻³) = 3.8
- total DFT energy (no corrections) (eV/atom) = -3.8471
- symmetry = Fm-3m

First-principles (GGA-PBE) data for a relaxed structure of Na2Al2Co, as listed in the Alexandria database.

POSCAR file:
```
Na2Al2Co
1.0
3.467 0.000 0.000
0.000 3.467 0.000
1.734 1.734 7.707
Na Co Al
2 1 2
Direct
0.750 0.250 0.500 Na
0.250 0.750 0.500 Na
0.000 0.000 0.000 Co
0.418 0.418 0.165 Al
0.582 0.582 0.835 Al
```

Values from the calculation:
- ΔE_f (meV per atom) = 541
- ρ (g cm⁻³) = 2.8
- total DFT energy (no corrections) (eV/atom) = -2.9051
- symmetry = I4/mmm

First-principles (GGA-PBE) data for a relaxed structure of NaAl2Co, as listed in the Alexandria database.

POSCAR file:
```
NaAl2Co
1.0
5.509 0.000 0.000
0.000 5.509 0.000
2.755 2.755 7.067
Na Co Al
2 2 4
Direct
0.500 0.500 0.000 Na
0.250 0.750 0.500 Na
0.000 0.000 0.000 Co
0.750 0.250 0.500 Co
0.877 0.125 0.250 Al
0.873 0.625 0.250 Al
0.375 0.123 0.750 Al
0.875 0.127 0.750 Al
```

Values from the calculation:
- ΔE_f (meV per atom) = 384
- ρ (g cm⁻³) = 2.1
- total DFT energy (no corrections) (eV/atom) = -3.5940
- symmetry = I-42d

First-principles (GGA-PBE) data for a relaxed structure of Na2Al2Co, as listed in the Alexandria database.

POSCAR file:
```
Na2Al2Co
1.0
-4.538 3.466 -2.749
-1.041 -4.665 -4.162
-3.716 -2.185 3.378
Na Co Al
4 2 4
Direct
0.175 0.675 0.500 Na
0.675 0.825 0.500 Na
0.825 0.325 0.500 Na
0.325 0.175 0.500 Na
0.000 0.000 0.000 Co
0.500 0.500 0.000 Co
0.300 0.800 0.000 Al
0.800 0.700 0.000 Al
0.700 0.200 0.000 Al
0.200 0.300 0.000 Al
```

Values from the calculation:
- ΔE_f (meV per atom) = 206
- ρ (g cm⁻³) = 2.4
- total DFT energy (no corrections) (eV/atom) = -3.2399
- symmetry = P4/mbm

First-principles (GGA-PBE) data for a relaxed structure of NaAl2Co2, as listed in the Alexandria database.

POSCAR file:
```
NaAl2Co2
1.0
7.269 0.000 0.000
0.000 7.269 0.000
0.000 0.000 2.672
Na Co Al
2 4 4
Direct
0.000 0.000 0.000 Na
0.500 0.500 0.000 Na
0.154 0.654 0.500 Co
0.654 0.846 0.500 Co
0.846 0.346 0.500 Co
0.346 0.154 0.500 Co
0.364 0.864 0.000 Al
0.864 0.636 0.000 Al
0.636 0.136 0.000 Al
0.136 0.364 0.000 Al
```

Values from the calculation:
- ΔE_f (meV per atom) = -117
- ρ (g cm⁻³) = 4.6
- total DFT energy (no corrections) (eV/atom) = -4.7200
- symmetry = P4/mbm

First-principles (GGA-PBE) data for a relaxed structure of NaAlCo2, as listed in the Alexandria database.

POSCAR file:
```
NaAlCo2
1.0
4.102 0.000 0.000
0.000 4.102 0.000
2.051 2.051 8.593
Na Co Al
2 4 2
Direct
0.500 0.500 0.000 Na
0.250 0.750 0.500 Na
0.761 0.125 0.250 Co
0.989 0.625 0.250 Co
0.375 0.239 0.750 Co
0.875 0.011 0.750 Co
0.000 0.000 0.000 Al
0.750 0.250 0.500 Al
```

Values from the calculation:
- ΔE_f (meV per atom) = 618
- ρ (g cm⁻³) = 3.9
- total DFT energy (no corrections) (eV/atom) = -4.2000
- symmetry = I-42d

First-principles (GGA-PBE) data for a relaxed structure of NaAl2Co2, as listed in the Alexandria database.

POSCAR file:
```
NaAl2Co2
1.0
-0.414 2.674 -2.844
-3.824 -0.853 -0.246
-3.196 4.675 2.151
Na Co Al
1 2 2
Direct
0.000 0.000 0.000 Na
0.750 0.250 0.500 Co
0.250 0.750 0.500 Co
0.371 0.371 0.259 Al
0.629 0.629 0.741 Al
```

Values from the calculation:
- ΔE_f (meV per atom) = 133
- ρ (g cm⁻³) = 3.9
- total DFT energy (no corrections) (eV/atom) = -4.4699
- symmetry = I4/mmm